1.
Material: K2AgTeO
Method: DFT, GGA-PBE
State: relaxed

a = 5.9538 Å, b = 5.9538 Å, c = 4.0219 Å
α = 90.00°, β = 90.00°, γ = 90.00°
Closest atoms and distances in Å follow each position.
Element x y z (fractional)
K 0.0000 0.5000 0.0000  2 O 2.98
K 0.5000 0.0000 0.0000  2 O 2.98
Ag 0.0000 0.0000 0.5000  2 O 2.01
Te 0.5000 0.5000 0.5000  8 K 3.59, 2 Te 4.02
O 0.0000 0.0000 0.0000  2 Ag 2.01

Results
- symmetry = No. 123
- E_form (uncorrected) (meV/atom) = -674
- calculated density (Mg/m³) = 3.840
- density of states at the Fermi level (states/eV/f.u.) = 3.998

2.
Material: Na2SbTeO6
Method: DFT, GGA-PBE
State: relaxed

a = 5.6749 Å, b = 5.6749 Å, c = 4.0144 Å
α = 90.00°, β = 90.00°, γ = 90.00°
Closest atoms and distances in Å follow each position.
Element x y z (fractional)
Na 0.0000 0.5000 0.0000  12 O 2.84
Na 0.5000 0.0000 0.0000  12 O 2.84
Sb 0.0000 0.0000 0.5000  6 O 2.01
Te 0.5000 0.5000 0.5000  6 O 2.01
O 0.0000 0.0000 0.0000  2 Sb 2.01
O 0.2500 0.2500 0.5000  1 Te 2.01, 1 Sb 2.01
O 0.2500 0.7500 0.5000  1 Te 2.01, 1 Sb 2.01
O 0.5000 0.5000 0.0000  2 Te 2.01
O 0.7500 0.2500 0.5000  1 Te 2.01, 1 Sb 2.01
O 0.7500 0.7500 0.5000  1 Te 2.01, 1 Sb 2.01

Results
- symmetry = No. 123
- E_form (uncorrected) (meV/atom) = -1320
- calculated density (Mg/m³) = 5.026
- density of states at the Fermi level (states/eV/f.u.) = 1.291

3.
Material: Cs2NaSnI6
Method: DFT, GGA-PBE
State: relaxed

a = 8.7381 Å, b = 8.7381 Å, c = 8.7381 Å
α = 60.00°, β = 60.00°, γ = 60.00°
Closest atoms and distances in Å follow each position.
Element x y z (fractional)
Cs 0.2500 0.2500 0.2500  12 I 4.37
Cs 0.7500 0.7500 0.7500  12 I 4.37
Na 0.0000 0.0000 0.0000  6 I 3.16
Sn 0.5000 0.5000 0.5000  6 I 3.02
I 0.2555 0.2555 0.7445  1 Sn 3.02, 1 Na 3.16
I 0.2555 0.7445 0.2555  1 Sn 3.02, 1 Na 3.16
I 0.2555 0.7445 0.7445  1 Sn 3.02, 1 Na 3.16
I 0.7445 0.2555 0.2555  1 Sn 3.02, 1 Na 3.16
I 0.7445 0.2555 0.7445  1 Sn 3.02, 1 Na 3.16
I 0.7445 0.7445 0.2555  1 Sn 3.02, 1 Na 3.16

Results
- symmetry = No. 225
- E_form (uncorrected) (meV/atom) = -1013
- calculated density (Mg/m³) = 4.114
- density of states at the Fermi level (states/eV/f.u.) = 5.077
- excess energy over the best structure of this formula in the dataset (eV per atom) = 0.010

4.
Material: Co3Ni7Rh
Method: DFT, GGA-PBE
State: relaxed

a = 5.9088 Å, b = 5.9088 Å, c = 4.4150 Å
α = 108.79°, β = 108.79°, γ = 90.35°
Closest atoms and distances in Å follow each position.
Element x y z (fractional)
Co 0.0000 0.0000 0.0000  6 Ni 2.34-2.40
Co 0.2267 0.7733 0.5000  7 Ni 2.29-2.47
Co 0.7733 0.2267 0.5000  7 Ni 2.29-2.47
Ni 0.0523 0.5918 0.8185  3 Co 2.34-2.47, 3 Ni 2.42-2.53, 1 Rh 2.62
Ni 0.1792 0.1792 0.6085  3 Co 2.33-2.40, 1 Rh 2.43, 2 Ni 2.53
Ni 0.4082 0.9477 0.1815  3 Co 2.34-2.47, 3 Ni 2.42-2.53, 1 Rh 2.62
Ni 0.5000 0.5000 0.5000  2 Rh 2.21, 2 Co 2.29
Ni 0.5918 0.0523 0.8185  3 Co 2.34-2.47, 3 Ni 2.42-2.53, 1 Rh 2.62
Ni 0.8208 0.8208 0.3915  3 Co 2.33-2.40, 1 Rh 2.43, 2 Ni 2.53
Ni 0.9477 0.4082 0.1815  3 Co 2.34-2.47, 3 Ni 2.42-2.53, 1 Rh 2.62
Rh 0.5000 0.5000 0.0000  4 Ni 2.21-2.43

Results
- symmetry = No. 12
- calculated density (Mg/m³) = 8.363
- density of states at the Fermi level (states/eV/f.u.) = 17.139
- excess energy over the best structure of this formula in the dataset (eV per atom) = 0.278

5.
Material: BaNbC3
Method: DFT, GGA-PBE
State: relaxed

a = 4.3494 Å, b = 4.3494 Å, c = 4.3494 Å
α = 90.00°, β = 90.00°, γ = 90.00°
Closest atoms and distances in Å follow each position.
Element x y z (fractional)
Ba 0.0000 0.0000 0.0000  12 C 3.08
Nb 0.5000 0.5000 0.5000  6 C 2.17
C 0.0000 0.5000 0.5000  2 Nb 2.17
C 0.5000 0.0000 0.5000  2 Nb 2.17
C 0.5000 0.5000 0.0000  2 Nb 2.17

Results
- symmetry = No. 221
- calculated density (Mg/m³) = 5.374
- density of states at the Fermi level (states/eV/f.u.) = 5.461
- excess energy over the best structure of this formula in the dataset (eV per atom) = 0.000

6.
Material: Re4Te
Method: DFT, GGA-PBE
State: relaxed

a = 5.0537 Å, b = 5.0537 Å, c = 5.0537 Å
α = 109.47°, β = 109.47°, γ = 109.47°
Closest atoms and distances in Å follow each position.
Element x y z (fractional)
Re 0.0000 0.0000 0.5000  2 Te 2.53
Re 0.0000 0.5000 0.0000  2 Te 2.53
Re 0.5000 0.0000 0.0000  2 Te 2.53
Re 0.5000 0.5000 0.5000  2 Te 2.53
Te 0.0000 0.0000 0.0000  8 Re 2.53

Results
- symmetry = No. 229
- E_form (uncorrected) (meV/atom) = 2154
- calculated density (Mg/m³) = 14.580
- density of states at the Fermi level (states/eV/f.u.) = 7.547
- excess energy over the best structure of this formula in the dataset (eV per atom) = 1.545

7.
Material: NbPPtS2
Method: DFT, GGA-PBE
State: relaxed

a = 4.6790 Å, b = 4.6790 Å, c = 4.5875 Å
α = 90.00°, β = 90.00°, γ = 90.00°
Closest atoms and distances in Å follow each position.
Element x y z (fractional)
Nb 0.0000 0.0000 0.0000  8 S 3.28, 4 P 3.31
P 0.5000 0.5000 0.0000  2 Pt 2.29
Pt 0.5000 0.5000 0.5000  2 P 2.29, 4 S 2.34
S 0.0000 0.5000 0.5000  2 Pt 2.34
S 0.5000 0.0000 0.5000  2 Pt 2.34

Results
- symmetry = No. 123
- E_form (uncorrected) (meV/atom) = 716
- calculated density (Mg/m³) = 6.334
- density of states at the Fermi level (states/eV/f.u.) = 4.244
- excess energy over the best structure of this formula in the dataset (eV per atom) = 0.166

8.
Material: Dy4Bi2Os
Method: DFT, GGA-PBE
State: relaxed

a = 7.9720 Å, b = 12.2299 Å, c = 4.3851 Å
α = 90.00°, β = 90.00°, γ = 90.00°
Closest atoms and distances in Å follow each position.
Element x y z (fractional)
Dy 0.1305 0.1963 0.0000  1 Os 2.62
Dy 0.2082 0.9430 0.5000  2 Os 2.84
Dy 0.2918 0.4430 0.5000  2 Os 2.84
Dy 0.3695 0.6963 0.0000  1 Os 2.62
Dy 0.6305 0.3037 0.0000  1 Os 2.62
Dy 0.7082 0.5570 0.5000  2 Os 2.84
Dy 0.7918 0.0570 0.5000  2 Os 2.84
Dy 0.8695 0.8037 0.0000  1 Os 2.62
Bi 0.0794 0.6726 0.5000  7 Dy 3.19-3.46
Bi 0.4206 0.1726 0.5000  7 Dy 3.19-3.46
Bi 0.5794 0.8274 0.5000  7 Dy 3.19-3.46
Bi 0.9206 0.3274 0.5000  7 Dy 3.19-3.46
Os 0.0000 0.0000 0.0000  6 Dy 2.62-2.84
Os 0.5000 0.5000 0.0000  6 Dy 2.62-2.84

Results
- symmetry = No. 55
- calculated density (Mg/m³) = 9.774
- density of states at the Fermi level (states/eV/f.u.) = 4.080
- E_tot (eV/atom) = -5.88